(1)
Pa2CO: optimized geometry, GGA-PBE.

Cell lengths 3.066, 3.066, 6.148 Å; angles 90.00, 90.00, 90.00 degrees
Element x y z (fractional)
Pa (0.000, 0.000, 0.238)
Pa (0.000, 0.000, 0.762)
C (0.500, 0.500, 0.000)
O (0.500, 0.500, 0.500)

magnetization = 1.24 μB/cell
calculated volume = 57.8 Å³/cell
ΔE_f (raw) = -823.2 meV per atom
distance to the lowest polymorph of the same formula = 813.1 meV/atom



(2)
Y3Mg2Pb: optimized geometry, GGA-PBE.

Cell lengths 5.374, 5.374, 6.577 Å; angles 90.00, 90.00, 120.00 degrees
Element x y z (fractional)
Y (0.000, 0.000, 0.000)
Y (0.333, 0.667, 0.664)
Y (0.667, 0.333, 0.336)
Mg (0.333, 0.667, 0.145)
Mg (0.667, 0.333, 0.855)
Pb (0.000, 0.000, 0.500)

magnetization = 0.00 μB/cell
calculated volume = 164.5 Å³/cell
uncorrected energy = -4.65 eV/atom



(3)
KSr2Fe: optimized geometry, GGA-PBE.

Cell lengths 11.573, 11.573, 3.896 Å; angles 90.13, 90.13, 19.11 degrees
Element x y z (fractional)
K (0.000, 0.000, 0.000)
Sr (0.175, 0.175, 0.495)
Sr (0.336, 0.336, 0.498)
Fe (0.756, 0.756, 0.996)

magnetization = 2.07 μB/cell
calculated volume = 170.9 Å³/cell
uncorrected energy = -2.77 eV/atom



(4)
PmTh2In: optimized geometry, GGA-PBE.

Cell lengths 12.557, 12.557, 12.557 Å; angles 15.62, 15.62, 15.62 degrees
Element x y z (fractional)
Pm (0.000, 0.000, 0.000)
Th (0.091, 0.091, 0.091)
Th (0.909, 0.909, 0.909)
In (0.500, 0.500, 0.500)

magnetization = 0.00 μB/cell
calculated volume = 125.0 Å³/cell
distance to the lowest polymorph of the same formula = 319.1 meV/atom



Q: Which density of states at the Fermi level values were calculated for the entries above? A: 1.550; 0.911; 1.681; 1.323, in states/eV/atom.